Entry from Alexandria: Th2TcGe after structural relaxation (PBE).

Properties
Mass density = 11.34 Mg/m³
E_form = -1.17 eV per formula unit
Total magnetization = 0.00 μB per atom

abc: 4.0047 4.8169 4.8169
angles: 90.00 90.00 90.00
Fractional coordinates of all 4 atoms:
Ge (0.5000, 0.0000, 0.0000)
Tc (0.5000, 0.5000, 0.5000)
Th (0.0000, 0.0000, 0.5000)
Th (0.0000, 0.5000, 0.0000)